(1)
## Nd6SiN2Cl3 (PBE)

Data for a relaxed Nd6SiN2Cl3 crystal.

- E_form (uncorrected) (meV per atom) = -1377
- V (Å³/atom) = 23.17
- spin magnetization (μB per cell) = 0.0
- space-group type = C2/m, No. 12

Unit cell a=3.869 b=8.384 c=9.307 alpha=109.28 beta=102.00 gamma=90.00
Atoms (fractional coordinates):
Nd: 0.334 0.866 0.668
Nd: 0.683 0.551 0.366
Nd: 0.666 0.134 0.332
Nd: 0.026 0.254 0.053
Nd: 0.974 0.746 0.947
Nd: 0.317 0.449 0.634
Si: 0.500 0.000 0.000
N: 0.827 0.659 0.654
N: 0.173 0.341 0.346
Cl: 0.500 0.500 0.000
Cl: 0.837 0.173 0.673
Cl: 0.163 0.827 0.327

---

(2)
## Y2O3 (PBE)

Data for a relaxed Y2O3 crystal.

- E_form (uncorrected) (meV per atom) = -3430
- V (Å³/atom) = 13.18
- spin magnetization (μB per cell) = 0.0
- space-group type = Pnma, No. 62

Unit cell a=3.342 b=6.025 c=13.088 alpha=90.00 beta=90.00 gamma=90.00
Atoms (fractional coordinates):
Y: 0.250 0.686 0.303
Y: 0.250 0.186 0.197
Y: 0.750 0.314 0.697
Y: 0.750 0.814 0.803
Y: 0.250 0.258 0.948
Y: 0.250 0.758 0.552
Y: 0.750 0.742 0.052
Y: 0.750 0.242 0.448
O: 0.250 0.527 0.108
O: 0.250 0.027 0.392
O: 0.750 0.473 0.892
O: 0.750 0.973 0.608
O: 0.250 0.361 0.563
O: 0.250 0.861 0.937
O: 0.750 0.639 0.437
O: 0.750 0.139 0.063
O: 0.250 0.126 0.781
O: 0.250 0.626 0.719
O: 0.750 0.874 0.219
O: 0.750 0.374 0.281

---

(3)
## Na3TlBi4 (PBE)

Data for a relaxed Na3TlBi4 crystal.

- calculated formation energy (eV per atom) = -0.11
- V (Å³/atom) = 32.46
- spin magnetization (μB per cell) = 0.0
- space-group type = Immm, No. 71

Unit cell a=5.810 b=5.874 c=8.658 alpha=109.83 beta=109.60 gamma=90.00
Atoms (fractional coordinates):
Na: 0.000 0.500 0.000
Na: 0.876 0.876 0.752
Na: 0.124 0.124 0.248
Tl: 0.500 0.000 0.000
Bi: 0.749 0.249 0.498
Bi: 0.251 0.751 0.502
Bi: 0.349 0.350 0.698
Bi: 0.651 0.650 0.302

---

(4)
## NaHfTlI2 (PBE)

Data for a relaxed NaHfTlI2 crystal.

- E_form (uncorrected) (meV per atom) = 746
- V (Å³/atom) = 46.70
- spin magnetization (μB per cell) = 1.4
- space-group type = P4/mmm, No. 123

Unit cell a=6.391 b=5.717 c=6.391 alpha=90.00 beta=90.00 gamma=90.00
Atoms (fractional coordinates):
I: 0.000 0.000 0.500
I: 0.500 0.000 0.000
Na: 0.000 0.500 0.000
Tl: 0.000 0.000 0.000
Hf: 0.500 0.500 0.500